[1]
# GGA-PBE CsKPS2, relaxed
data_CsKPS2
_space_group_name_H-M_alt 'P 4/m m m'
_space_group_IT_number 123
_space_group_name_Hall '-P 4 2'
_cell_length_a 5.960
_cell_length_b 5.960
_cell_length_c 6.196
_cell_angle_alpha 90.00
_cell_angle_beta 90.00
_cell_angle_gamma 90.00
loop_
_atom_site_label
_atom_site_fract_x
_atom_site_fract_y
_atom_site_fract_z
Cs1 0.000 0.000 0.000
K1 0.500 0.500 0.500
P1 0.500 0.500 0.000
S1 0.000 0.500 0.500
# - E_form (uncorrected): 507 meV per atom
# - E_tot: -2.616 eV per atom
# - DOS(E_F): 5.8 states/eV/f.u.

=====

[2]
# GGA-PBE LaZn3Hg, relaxed
data_LaZn3Hg
_space_group_name_H-M_alt 'P m -3 m'
_space_group_IT_number 221
_space_group_name_Hall '-P 4 2 3'
_cell_length_a 6.007
_cell_length_b 6.007
_cell_length_c 6.007
_cell_angle_alpha 90.00
_cell_angle_beta 90.00
_cell_angle_gamma 90.00
loop_
_atom_site_label
_atom_site_fract_x
_atom_site_fract_y
_atom_site_fract_z
La1 0.000 0.000 0.000
Zn1 0.000 0.000 0.500
Hg1 0.500 0.500 0.500
# - Calculated formation energy: 0.76 eV/atom
# - E_tot: -1.050 eV per atom
# - DOS(E_F): 6.5 states/eV/f.u.

=====

[3]
# GGA-PBE Hf4Zn3Fe, relaxed
data_Hf4Zn3Fe
_space_group_name_H-M_alt 'P 4/m m m'
_space_group_IT_number 123
_space_group_name_Hall '-P 4 2'
_cell_length_a 3.252
_cell_length_b 3.252
_cell_length_c 13.183
_cell_angle_alpha 90.00
_cell_angle_beta 90.00
_cell_angle_gamma 90.00
loop_
_atom_site_label
_atom_site_fract_x
_atom_site_fract_y
_atom_site_fract_z
Hf1 0.000 0.000 0.115
Hf2 0.000 0.000 0.372
Zn1 0.500 0.500 0.245
Zn2 0.500 0.500 0.500
Fe1 0.500 0.500 0.000
# - Calculated formation energy: -0.22 eV/atom
# - E_tot: -6.735 eV per atom
# - DOS(E_F): 4.2 states/eV/f.u.

=====

[4]
# GGA-PBE Th3Al3FeHg2, relaxed
data_Th3Al3FeHg2
_space_group_name_H-M_alt 'P -6 2 m'
_space_group_IT_number 189
_space_group_name_Hall 'P -6 -2'
_cell_length_a 7.2003
_cell_length_b 7.2003
_cell_length_c 4.5643
_cell_angle_alpha 90.00
_cell_angle_beta 90.00
_cell_angle_gamma 120.00
loop_
_atom_site_label
_atom_site_fract_x
_atom_site_fract_y
_atom_site_fract_z
Th1 0.0000 0.3780 0.0000
Al1 0.0000 0.7797 0.5000
Fe1 0.0000 0.0000 0.0000
Hg1 0.3333 0.6667 0.5000
# - Calculated formation energy: -0.35 eV/atom
# - E_tot: -5.074 eV per atom
# - DOS(E_F): 8.0 states/eV/f.u.